5
Lattice="-0.752 -0.335 -4.743 -3.439 -3.278 0.776 -3.284 3.509 0.273" Properties=species:S:1:pos:R:3 comment="BaNaOs3 (GGA-PBE, optimized geometry)" relative_energy_kcal_per_mol_atoms=0.00 space_group="Pm-3m (221)" formation_energy_ev_per_atom=2.676 pbc="T T T"
Os -0.376 -0.167 -2.371
Os -1.642 1.755 0.136
Os -1.719 -1.639 0.388
Na 0.000 0.000 0.000
Ba -3.737 -0.052 -1.847

=====

28
Lattice="4.082 0.000 0.000 0.000 6.684 0.000 0.000 0.000 17.018" Properties=species:S:1:pos:R:3 comment="ScGe2Pd4 (GGA-PBE, optimized geometry)" relative_energy_kcal_per_mol_atoms=0.00 space_group="Pnma (62)" formation_energy_ev_per_atom=-0.641 pbc="T T T"
Pd 3.062 1.242 13.810
Pd 3.062 2.100 5.301
Pd 3.062 5.107 13.855
Pd 1.021 1.765 11.671
Pd 1.021 2.436 0.476
Pd 1.021 1.577 3.162
Pd 3.062 5.778 8.033
Pd 3.062 0.067 1.268
Pd 1.021 4.584 11.717
Pd 3.062 3.275 9.777
Pd 3.062 4.919 5.346
Pd 3.062 4.248 16.541
Pd 1.021 0.906 8.985
Pd 1.021 5.442 3.208
Pd 1.021 6.617 15.749
Pd 1.021 3.409 7.240
Ge 3.062 1.600 16.271
Ge 1.021 4.942 9.255
Ge 1.021 5.084 0.746
Ge 1.021 6.522 13.210
Ge 1.021 3.504 4.701
Ge 3.062 3.180 12.317
Ge 3.062 1.742 7.762
Ge 3.062 0.162 3.808
Sc 3.062 6.544 10.886
Sc 1.021 3.202 14.640
Sc 3.062 3.482 2.377
Sc 1.021 0.140 6.132

=====

4
Lattice="-3.332 -1.525 -3.006 -1.578 -4.461 0.276 -4.387 -0.869 1.568" Properties=species:S:1:pos:R:3 comment="Y2NiOs (GGA-PBE, optimized geometry)" space_group="F-43m (216)" formation_energy_ev_per_atom=0.216 pbc="T T T"
Os -6.973 -5.141 -0.872
Y -2.324 -1.714 -0.291
Y 0.000 0.000 0.000
Ni -4.648 -3.428 -0.581

=====

10
Lattice="6.283 0.000 0.000 3.141 5.441 0.000 3.141 1.814 5.130" Properties=species:S:1:pos:R:3 comment="Ti7CrRh2 (GGA-PBE, optimized geometry)" space_group="Fm-3m (225)" formation_energy_ev_per_atom=0.641 pbc="T T T"
Cr 0.000 0.000 0.000
Ti 7.878 2.706 3.868
Ti 4.687 2.706 3.868
Ti 6.283 5.470 3.868
Ti 6.283 3.627 2.565
Ti 6.283 1.785 1.262
Ti 4.687 4.549 1.262
Ti 7.878 4.549 1.262
Rh 3.141 1.814 1.282
Rh 9.424 5.441 3.847

=====

14
Lattice="3.286 0.000 0.000 0.000 6.804 -0.201 0.000 0.207 9.429" Properties=species:S:1:pos:R:3 comment="Ti3S3N (GGA-PBE, optimized geometry)" relative_energy_kcal_per_mol_atoms=0.00 space_group="P2_1/m (11)" pbc="T T T"
S 2.464 4.319 1.104
S 0.821 2.692 8.123
S 2.464 4.367 5.793
S 0.821 2.644 3.434
S 0.821 6.053 8.053
S 2.464 0.958 1.174
Ti 0.821 6.038 1.312
Ti 2.464 4.728 3.431
Ti 0.821 6.283 5.568
Ti 0.821 2.283 5.796
Ti 2.464 0.728 3.659
Ti 2.464 0.973 7.915
N 0.821 6.089 3.414
N 2.464 0.923 5.813

=====

4
Lattice="3.746 0.000 0.000 0.000 3.746 0.000 0.000 0.000 9.010" Properties=species:S:1:pos:R:3 comment="NaCa2Ga (GGA-PBE, optimized geometry)" space_group="P4/mmm (123)" formation_energy_ev_per_atom=-0.226 pbc="T T T"
Ga 1.873 1.873 0.000
Ca 0.000 0.000 1.727
Ca 0.000 0.000 7.283
Na 1.873 1.873 4.505

=====

4
Lattice="3.160 0.000 0.000 0.000 3.160 0.000 0.000 0.000 5.915" Properties=species:S:1:pos:R:3 comment="FeMo2Se (GGA-PBE, optimized geometry)" space_group="P4mm (99)" final_energy_ev_per_cell=-32.95 pbc="T T T"
Fe 1.580 1.580 4.603
Se 0.000 0.000 2.937
Mo 1.580 1.580 1.545
Mo 0.000 0.000 5.703

=====

6
Lattice="5.706 1.611 0.961 1.230 4.936 3.194 2.375 -0.493 5.495" Properties=species:S:1:pos:R:3 comment="In4FeSe (GGA-PBE, optimized geometry)" space_group="F-43m (216)" final_energy_ev_per_cell=-19.62 pbc="T T T"
In 6.351 3.076 4.096
In 3.488 2.268 3.614
In 4.680 2.021 6.371
In 4.105 4.744 5.217
Se 6.984 4.541 7.237
Fe 0.000 0.000 0.000

=====

13
Lattice="-2.023 -2.441 2.447 3.390 -0.542 2.262 -4.244 13.019 9.480" Properties=species:S:1:pos:R:3 comment="Tb4Ge8Pd (GGA-PBE, optimized geometry)" space_group="Pmm2 (25)" formation_energy_ev_per_atom=-0.652 pbc="T T T"
Ge -3.412 6.146 6.587
Ge 0.713 2.742 3.325
Ge -1.992 6.110 4.449
Ge -2.521 8.338 9.512
Ge -2.294 11.965 10.040
Ge 0.516 -0.978 2.728
Ge -1.987 1.774 3.404
Ge -3.178 9.750 7.099
Tb -0.900 7.691 6.928
Tb -0.407 1.248 0.909
Tb -4.798 10.395 9.681
Tb -1.021 3.737 6.161
Pd -1.367 4.193 3.053

=====

4
Lattice="-3.166 -0.677 0.463 0.818 -2.719 1.624 0.112 3.876 6.432" Properties=species:S:1:pos:R:3 comment="BaBeW2 (GGA-PBE, optimized geometry)" space_group="P4/mmm (123)" formation_energy_ev_per_atom=0.902 pbc="T T T"
Ba -1.146 -0.729 2.651
W 0.101 3.494 5.798
W 0.067 2.319 3.849
Be -1.090 1.209 5.867

=====

8
Lattice="5.817 0.000 0.000 0.000 9.534 -0.123 0.000 3.600 4.561" Properties=species:S:1:pos:R:3 comment="NdSm4Er2Mg (GGA-PBE, optimized geometry)" space_group="P4/mmm (123)" formation_energy_ev_per_atom=0.070 pbc="T T T"
Sm 2.909 8.025 1.070
Sm 5.817 3.309 1.093
Sm 2.909 5.109 3.368
Sm 0.000 9.824 3.346
Mg 0.000 6.567 2.219
Er 0.000 3.600 4.561
Er 2.909 1.800 2.281
Nd 2.909 4.767 -0.061

=====

4
Lattice="4.858 0.000 0.000 0.000 2.933 -0.007 0.000 0.375 5.051" Properties=species:S:1:pos:R:3 comment="Ta2PtBr (GGA-PBE, optimized geometry)" relative_energy_kcal_per_mol_atoms=6.31 space_group="Pm (6)" pbc="T T T"
Pt 2.429 2.621 3.928
Ta 0.000 0.405 4.909
Ta 2.429 1.108 1.454
Br 0.000 1.204 2.327

=====

| no. | size of the total moment (μB/atom) |
| --- | --- |
| 1 | 0.71 |
| 2 | 0.00 |
| 3 | 0.00 |
| 4 | 0.00 |
| 5 | 0.00 |
| 6 | 0.00 |
| 7 | 0.09 |
| 8 | 0.52 |
| 9 | 0.00 |
| 10 | 0.00 |
| 11 | 0.00 |
| 12 | 0.00 |